Compound: EuWN2
Source: Alexandria
Functional: PBE
Structure: optimized geometry

The space group is R-3m (No. 166, hexagonal axes) and the conventional cell measures 3.2156, 3.2156 and 16.7182 Å, with angles of 90.00, 90.00 and 120.00 degrees. The distinct sites, in fractional coordinates, are Eu at (0.0000, 0.0000, 0.0000), W at (0.0000, 0.0000, 0.5000) and N at (0.0000, 0.0000, 0.2336).

As for the calculated volume: 49.9 Å³/f.u. The calculation puts the density at 12.1 Mg/m³. The excess energy over the best structure of this formula in the dataset is 0.0 kJ/mol of atoms. The formation energy (no corrections) is -0.68 eV per atom.

***

Compound: La3Tb2ThTe6
Source: Alexandria
Functional: PBE
Structure: optimized geometry

The space group is C2/m (No. 12) and the conventional cell measures 19.508, 4.474 and 9.027 Å, with angles of 90.00, 102.34 and 90.00 degrees. The distinct sites, in fractional coordinates, are La at (0.000, 0.000, 0.000), La at (0.162, 0.500, 0.334), Tb at (0.166, 0.500, 0.832), Th at (0.000, 0.000, 0.500), Te at (0.005, 0.500, 0.751), Te at (0.168, 0.000, 0.596) and Te at (0.171, 0.000, 0.076).

As for the calculated volume: 384.8 Å³/f.u. The calculation puts the density at 7.5 Mg/m³. The formation energy (no corrections) is -1.40 eV per atom.

***

Compound: AcPu2O8
Source: Alexandria
Functional: PBE
Structure: optimized geometry

The space group is P-1 (No. 2) and the conventional cell measures 4.208, 7.243 and 7.245 Å, with angles of 60.06, 89.98 and 89.97 degrees. The distinct sites, in fractional coordinates, are Ac at (0.000, 0.000, 0.000), Pu at (0.270, 0.333, 0.333), O at (0.228, 0.667, 0.666), O at (0.270, 0.177, 0.644), O at (0.270, 0.179, 0.177) and O at (0.270, 0.644, 0.179).

As for the calculated volume: 191.3 Å³/f.u. The calculation puts the density at 7.3 Mg/m³. The excess energy over the best structure of this formula in the dataset is 11.5 kJ/mol of atoms. The formation energy (no corrections) is -2.30 eV per atom.

***

Compound: NbB2Rh2
Source: Alexandria
Functional: PBE
Structure: optimized geometry

The space group is P4/mbm (No. 127) and the conventional cell measures 6.504, 6.504 and 2.737 Å, with angles of 90.00, 90.00 and 90.00 degrees. The distinct sites, in fractional coordinates, are Nb at (0.000, 0.000, 0.000), B at (0.150, 0.350, 0.000) and Rh at (0.148, 0.648, 0.500).

For the formation enthalpy at 0 K, the calculation gives -0.1578 eV per atom. As for the calculated volume: 57.9 Å³/f.u. The calculation puts the density at 9.2 Mg/m³.

***

Compound: RbSn2GeF
Source: Alexandria
Functional: PBE
Structure: optimized geometry

The space group is P4/mmm (No. 123) and the conventional cell measures 5.083, 5.083 and 5.188 Å, with angles of 90.00, 90.00 and 90.00 degrees. The distinct sites, in fractional coordinates, are Rb at (0.000, 0.000, 0.000), Sn at (0.000, 0.500, 0.500), Ge at (0.500, 0.500, 0.000) and F at (0.000, 0.000, 0.500).

As for the calculated volume: 134.0 Å³/f.u. The calculation puts the density at 5.1 Mg/m³. The excess energy over the best structure of this formula in the dataset is 0.0 kJ/mol of atoms. The formation energy (no corrections) is -0.39 eV per atom.

***

Compound: Sm2ZrZn
Source: Alexandria
Functional: PBE
Structure: optimized geometry

The space group is R-3m (No. 166, hexagonal axes) and the conventional cell measures 3.2920, 3.2920 and 34.3431 Å, with angles of 90.00, 90.00 and 120.00 degrees. The distinct sites, in fractional coordinates, are Sm at (0.0000, 0.0000, 0.0952), Zr at (0.0000, 0.0000, 0.0000) and Zn at (0.0000, 0.0000, 0.5000).

For the formation enthalpy at 0 K, the calculation gives 0.2888 eV per atom. As for the calculated volume: 107.4 Å³/f.u. The calculation puts the density at 7.1 Mg/m³. The excess energy over the best structure of this formula in the dataset is 35.0 kJ/mol of atoms.

***

Please write out number 6 again, unchanged.
Compound: Sm2ZrZn
Source: Alexandria
Functional: PBE
Structure: optimized geometry

The space group is R-3m (No. 166, hexagonal axes) and the conventional cell measures 3.2920, 3.2920 and 34.3431 Å, with angles of 90.00, 90.00 and 120.00 degrees. The distinct sites, in fractional coordinates, are Sm at (0.0000, 0.0000, 0.0952), Zr at (0.0000, 0.0000, 0.0000) and Zn at (0.0000, 0.0000, 0.5000).

For the formation enthalpy at 0 K, the calculation gives 0.2888 eV per atom. As for the calculated volume: 107.4 Å³/f.u. The calculation puts the density at 7.1 Mg/m³. The excess energy over the best structure of this formula in the dataset is 35.0 kJ/mol of atoms.

***

Please write out number 4 again, unchanged.
Compound: NbB2Rh2
Source: Alexandria
Functional: PBE
Structure: optimized geometry

The space group is P4/mbm (No. 127) and the conventional cell measures 6.504, 6.504 and 2.737 Å, with angles of 90.00, 90.00 and 90.00 degrees. The distinct sites, in fractional coordinates, are Nb at (0.000, 0.000, 0.000), B at (0.150, 0.350, 0.000) and Rh at (0.148, 0.648, 0.500).

For the formation enthalpy at 0 K, the calculation gives -0.1578 eV per atom. As for the calculated volume: 57.9 Å³/f.u. The calculation puts the density at 9.2 Mg/m³.

***

What is the calculated volume in the first record? 49.9 Å³/f.u.

***

What is the calculated volume in the fourth record? 57.9 Å³/f.u.